Record 1
A plane-wave DFT calculation with GGA-PBEsol was carried out for Y5In3 after structural relaxation.

Values from the calculation:
offset from the most stable computed form = 47 meV per atom
crystal system = orthorhombic
ΔH_f (0 K) = -0.403 eV per atom

Lattice parameters (Å, degrees): 5.1009 6.6352 6.6352 106.17 90.00 90.00
With the nearest neighbours (Å) after each atom.
Element x y z (fractional)
Y: 0.0000 0.0000 0.0000  8 Y 3.32-3.41, 4 In 3.40
Y: 0.0000 0.0000 0.5000  6 In 3.26-3.32, 2 Y 3.32
Y: 0.0000 0.5000 0.0000  6 In 3.26-3.32, 2 Y 3.32
Y: 0.5000 0.2841 0.2841  4 In 3.08-3.19, 3 Y 3.41-3.44
Y: 0.5000 0.7159 0.7159  4 In 3.08-3.19, 3 Y 3.41-3.44
In: 0.0000 0.5000 0.5000  8 Y 3.08-3.32
In: 0.5000 0.7884 0.2116  10 Y 3.19-3.51
In: 0.5000 0.2116 0.7884  10 Y 3.19-3.51



Record 2
A plane-wave DFT calculation with GGA-PBEsol was carried out for Y5In after structural relaxation.

Values from the calculation:
offset from the most stable computed form = 14 meV per atom
crystal system = monoclinic
ΔH_f (0 K) = -0.175 eV per atom

Lattice parameters (Å, degrees): 3.5269 6.5092 8.1168 104.32 90.00 105.72
With the nearest neighbours (Å) after each atom.
Element x y z (fractional)
Y: 0.6723 0.3446 0.3326  10 Y 3.26-3.59, 2 In 3.50
Y: 0.3418 0.6837 0.6901  2 In 3.26, 9 Y 3.42-3.59
Y: 0.3936 0.7872 0.2592  2 In 3.25, 9 Y 3.39-3.53
Y: 0.0602 0.1204 0.6057  11 Y 3.38-3.53, 1 In 3.49
Y: 0.7032 0.4065 0.9462  9 Y 3.26-3.53, 3 In 3.26-3.58
In: 0.9955 0.9910 0.9996  10 Y 3.25-3.58, 2 In 3.53



Record 3
A plane-wave DFT calculation with GGA-PBEsol was carried out for Y2In after structural relaxation.

Values from the calculation:
crystal system = hexagonal
ΔH_f (0 K) = -0.431 eV per atom

Lattice parameters (Å, degrees): 5.3172 5.3172 6.6384 90.00 90.00 120.00
With the nearest neighbours (Å) after each atom.
Element x y z (fractional)
Y: 0.0000 0.0000 0.0000  8 Y 3.32-3.49, 6 In 3.49
Y: 0.0000 0.0000 0.5000  8 Y 3.32-3.49, 6 In 3.49
Y: 0.6667 0.3333 0.2500  5 In 3.07-3.32
Y: 0.3333 0.6667 0.7500  5 In 3.07-3.32
In: 0.6667 0.3333 0.7500  5 Y 3.07-3.32
In: 0.3333 0.6667 0.2500  5 Y 3.07-3.32



Record 4
A plane-wave DFT calculation with GGA-PBEsol was carried out for YIn2 after structural relaxation.

Values from the calculation:
crystal system = monoclinic
ΔH_f (0 K) = -0.472 eV per atom

Lattice parameters (Å, degrees): 4.5508 5.7399 6.4621 107.11 90.00 113.35
With the nearest neighbours (Å) after each atom.
Element x y z (fractional)
Y: 0.6518 0.3036 0.3148  10 In 3.13-3.48, 2 Y 3.47
Y: 0.3482 0.6964 0.6852  10 In 3.13-3.48, 2 Y 3.47
In: 0.6714 0.3428 0.8253  7 In 3.23-3.32, 5 Y 3.23-3.25
In: 0.3286 0.6572 0.1747  7 In 3.23-3.32, 5 Y 3.23-3.25
In: 0.0000 0.0000 0.5000  6 Y 3.22-3.48, 6 In 3.23
In: 0.0000 0.0000 0.0000  4 Y 3.13, 8 In 3.23-3.32



Record 5
A plane-wave DFT calculation with GGA-PBEsol was carried out for Y5In4 after structural relaxation.

Values from the calculation:
crystal system = hexagonal
ΔH_f (0 K) = -0.518 eV per atom

Lattice parameters (Å, degrees): 6.5291 9.1783 9.1783 120.00 90.00 90.00
With the nearest neighbours (Å) after each atom.
Element x y z (fractional)
In: 0.0000 0.0000 0.0000  6 Y 3.12, 2 In 3.26
In: 0.5000 0.0000 0.0000  6 Y 3.12, 2 In 3.26
In: 0.7500 0.0000 0.3718  9 Y 3.10-3.35
In: 0.7500 0.3718 0.0000  9 Y 3.10-3.35
In: 0.7500 0.6282 0.6282  9 Y 3.10-3.35
In: 0.2500 0.0000 0.6282  9 Y 3.10-3.35
In: 0.2500 0.6282 0.0000  9 Y 3.10-3.35
In: 0.2500 0.3718 0.3718  9 Y 3.10-3.35
Y: 0.7500 0.0000 0.7105  7 In 3.10-3.35
Y: 0.7500 0.7105 0.0000  7 In 3.10-3.35
Y: 0.7500 0.2895 0.2895  7 In 3.10-3.35
Y: 0.2500 0.0000 0.2895  7 In 3.10-3.35
Y: 0.2500 0.2895 0.0000  7 In 3.10-3.35
Y: 0.2500 0.7105 0.7105  7 In 3.10-3.35
Y: 0.0000 0.3333 0.6667  2 Y 3.26, 6 In 3.33
Y: 0.5000 0.6667 0.3333  2 Y 3.26, 6 In 3.33
Y: 0.0000 0.6667 0.3333  2 Y 3.26, 6 In 3.33
Y: 0.5000 0.3333 0.6667  2 Y 3.26, 6 In 3.33



Record 6
A plane-wave DFT calculation with GGA-PBEsol was carried out for Y2In after structural relaxation.

Values from the calculation:
crystal system = cubic
ΔH_f (0 K) = 0.132 eV per atom

Lattice parameters (Å, degrees): 6.1891 6.1891 6.1891 60.00 60.00 60.00
With the nearest neighbours (Å) after each atom.
Element x y z (fractional)
In: 0.5000 0.5000 0.5000  12 Y 3.63, 4 In 3.79
In: 0.7500 0.7500 0.7500  12 Y 3.63, 4 In 3.79
Y: 0.1250 0.1250 0.1250  6 Y 3.09
Y: 0.1250 0.6250 0.1250  6 Y 3.09
Y: 0.6250 0.1250 0.1250  6 Y 3.09
Y: 0.1250 0.1250 0.6250  6 Y 3.09



Record 7
A plane-wave DFT calculation with GGA-PBEsol was carried out for YIn2 after structural relaxation.

Values from the calculation:
crystal system = orthorhombic
ΔH_f (0 K) = -0.455 eV per atom

Lattice parameters (Å, degrees): 4.4737 6.4346 10.2820 90.00 90.00 90.00
With the nearest neighbours (Å) after each atom.
Element x y z (fractional)
In: 0.7500 0.3751 0.7329  5 Y 3.12-3.42, 6 In 3.17-3.38
In: 0.2500 0.1249 0.2329  5 Y 3.12-3.42, 6 In 3.17-3.38
In: 0.7500 0.8751 0.7671  5 Y 3.12-3.42, 6 In 3.17-3.38
In: 0.2500 0.6249 0.2671  5 Y 3.12-3.42, 6 In 3.17-3.38
In: 0.7500 0.3716 0.0789  5 Y 3.16-3.30, 6 In 3.17-3.38
In: 0.2500 0.1284 0.5789  5 Y 3.16-3.30, 6 In 3.17-3.38
In: 0.7500 0.8716 0.4211  5 Y 3.16-3.30, 6 In 3.17-3.38
In: 0.2500 0.6284 0.9211  5 Y 3.16-3.30, 6 In 3.17-3.38
Y: 0.7500 0.8615 0.1001  10 In 3.12-3.42
Y: 0.2500 0.6385 0.6001  10 In 3.12-3.42
Y: 0.7500 0.3615 0.3999  10 In 3.12-3.42
Y: 0.2500 0.1385 0.8999  10 In 3.12-3.42



Record 8
A plane-wave DFT calculation with GGA-PBEsol was carried out for YZn2In after structural relaxation.

Values from the calculation:
crystal system = tetragonal
ΔH_f (0 K) = -0.329 eV per atom

Lattice parameters (Å, degrees): 4.0748 4.4187 4.4187 90.00 90.00 90.00
With the nearest neighbours (Å) after each atom.
Element x y z (fractional)
Y: 0.5000 0.0000 0.0000  8 Zn 3.01, 4 In 3.12
Zn: 0.0000 0.0000 0.5000  4 In 3.01, 4 Y 3.01, 4 Zn 3.12
Zn: 0.0000 0.5000 0.0000  4 In 3.01, 4 Y 3.01, 4 Zn 3.12
In: 0.5000 0.5000 0.5000  8 Zn 3.01, 4 Y 3.12



Record 9
A plane-wave DFT calculation with GGA-PBEsol was carried out for YZnIn after structural relaxation.

Values from the calculation:
crystal system = orthorhombic
ΔH_f (0 K) = -0.496 eV per atom

Lattice parameters (Å, degrees): 4.5800 5.8359 5.8359 75.32 66.90 66.90
With the nearest neighbours (Å) after each atom.
Element x y z (fractional)
Y: 0.6293 0.8707 0.8707  2 Zn 3.01, 6 In 3.15-3.26
Y: 0.6228 0.3772 0.3772  4 Zn 3.02, 6 In 3.14-3.26
Zn: 0.9579 0.3379 0.7464  3 In 2.68-2.71, 1 Zn 2.91
Zn: 0.9579 0.7464 0.3379  3 In 2.68-2.71, 1 Zn 2.91
In: 0.2945 0.9738 0.4373  3 Zn 2.68-2.71
In: 0.2945 0.4373 0.9738  3 Zn 2.68-2.71



Record 10
A plane-wave DFT calculation with GGA-PBEsol was carried out for Y2ZnIn after structural relaxation.

Values from the calculation:
crystal system = orthorhombic
ΔH_f (0 K) = -0.414 eV per atom

Lattice parameters (Å, degrees): 3.7901 4.5065 6.0578 90.00 108.23 90.00
With the nearest neighbours (Å) after each atom.
Element x y z (fractional)
Y: 0.9675 0.0000 0.9351  3 Zn 3.08-3.27, 4 In 3.10
Y: 0.2743 0.5000 0.5487  4 Zn 3.07, 3 In 3.18-3.20
Zn: 0.6995 0.0000 0.3990  2 In 2.82, 5 Y 3.07-3.08
In: 0.5523 0.5000 0.1046  2 Zn 2.82, 4 Y 3.10



Record 11
A plane-wave DFT calculation with GGA-PBEsol was carried out for YZnIn2 after structural relaxation.

Values from the calculation:
crystal system = tetragonal
ΔH_f (0 K) = -0.431 eV per atom

Lattice parameters (Å, degrees): 4.4291 4.4119 4.4119 90.00 90.00 90.00
With the nearest neighbours (Å) after each atom.
Element x y z (fractional)
Y: 0.5000 0.5000 0.5000  4 Zn 3.12, 8 In 3.13
Zn: 0.5000 0.0000 0.0000  4 Y 3.12, 8 In 3.13
In: 0.0000 0.0000 0.5000  4 In 3.12, 4 Zn 3.13, 4 Y 3.13
In: 0.0000 0.5000 0.0000  4 In 3.12, 4 Zn 3.13, 4 Y 3.13



Record 12
A plane-wave DFT calculation with GGA-PBEsol was carried out for Y2ZnIn after structural relaxation.

Values from the calculation:
crystal system = cubic
ΔH_f (0 K) = -0.462 eV per atom

Lattice parameters (Å, degrees): 5.1227 5.1227 5.1227 60.00 60.00 60.00
With the nearest neighbours (Å) after each atom.
Element x y z (fractional)
Y: 0.2500 0.2500 0.2500  4 In 3.14, 4 Zn 3.14
Y: 0.7500 0.7500 0.7500  4 Zn 3.14, 4 In 3.14
Zn: 0.0000 0.0000 0.0000  8 Y 3.14
In: 0.5000 0.5000 0.5000  8 Y 3.14



Record 13
A plane-wave DFT calculation with GGA-PBEsol was carried out for Y2ZnIn after structural relaxation.

Values from the calculation:
crystal system = orthorhombic
ΔH_f (0 K) = -0.379 eV per atom

Lattice parameters (Å, degrees): 3.6382 4.9482 6.1026 113.88 107.34 90.00
With the nearest neighbours (Å) after each atom.
Element x y z (fractional)
Y: 0.9960 0.9961 0.9921  4 Zn 3.08, 2 In 3.39, 4 Y 3.41-3.44
Y: 0.7697 0.2696 0.5394  4 In 3.12, 2 Zn 3.20, 4 Y 3.41-3.44
Zn: 0.5191 0.5191 0.0382  2 In 2.75, 4 Y 3.08
In: 0.2152 0.7152 0.4303  2 Zn 2.75



Record 14
A plane-wave DFT calculation with GGA-PBEsol was carried out for YZnIn after structural relaxation.

Values from the calculation:
crystal system = hexagonal
ΔH_f (0 K) = -0.487 eV per atom

Lattice parameters (Å, degrees): 3.5834 4.5863 4.5863 120.00 90.00 90.00
With the nearest neighbours (Å) after each atom.
Element x y z (fractional)
Y: 0.6669 0.6667 0.3333  6 Zn 3.20, 6 In 3.20
Zn: 0.1662 0.3333 0.6667  3 In 2.65
In: 0.1670 0.0000 0.0000  3 Zn 2.65